1.
A plane-wave DFT calculation with PBEsol was carried out for a geometry-optimized CdIn2Pb structure.

The calculation puts the density of states at the Fermi level at 1.661 states/eV/f.u. The value obtained for the total moment is 0.00 μB per cell.

The structure belongs to space group Pmm2 (No. 25); the cell edges are 3.377, 4.363 and 6.919 Å and the angles 90.00°, 90.00° and 90.00°. The distinct sites, in fractional coordinates, are Cd at (0.000, 0.000, 0.000), In at (0.000, 0.000, 0.472), In at (0.500, 0.500, 0.227) and Pb at (0.500, 0.500, 0.743).

=====

2.
A plane-wave DFT calculation with PBEsol was carried out for a geometry-optimized CdInPb2 structure.

The calculation puts the distance to the lowest polymorph of the same formula at 13 meV/atom. The calculation puts the density of states at the Fermi level at 1.730 states/eV/f.u. The value obtained for the total moment is 0.00 μB per cell.

The structure belongs to space group Pmmm (No. 47); the cell edges are 4.682, 4.757 and 4.801 Å and the angles 90.00°, 90.00° and 90.00°. The distinct sites, in fractional coordinates, are Cd at (0.000, 0.000, 0.000), In at (0.500, 0.000, 0.500), Pb at (0.000, 0.500, 0.500) and Pb at (0.500, 0.500, 0.000).

=====

3.
A plane-wave DFT calculation with PBEsol was carried out for a geometry-optimized CdIn2Pb structure.

The calculation puts the density of states at the Fermi level at 1.745 states/eV/f.u. The value obtained for the total moment is 0.00 μB per cell.

The structure belongs to space group I4/mmm (No. 139); the cell edges are 4.793, 4.793 and 8.890 Å and the angles 90.00°, 90.00° and 90.00°. The distinct sites, in fractional coordinates, are Cd at (0.000, 0.000, 0.000), In at (0.000, 0.500, 0.250) and Pb at (0.000, 0.000, 0.500).

=====

Let's list volume in order: 102.0 106.9 102.1 Å³/f.u..
Let's list DFT total energy in order: -2.7568 -2.9955 -2.7488 eV/atom.